# 1
This record from Alexandria describes a crystal of NaMnTl3 relaxed with PBEsol. The functional is SCAN.

Output
The calculation puts the total energy at -47.285 eV/atom.

Unit cell a=5.3475 b=5.3475 c=5.3475 alpha=90.00 beta=90.00 gamma=90.00
With the nearest neighbours (Å) after each atom.
Fractional coordinates of all 5 atoms:
Na1 0.0000 0.0000 0.0000  6 Tl 2.67
Tl1 0.0000 0.5000 0.0000  2 Na 2.67
Tl2 0.0000 0.0000 0.5000  2 Na 2.67
Tl3 0.5000 0.0000 0.0000  2 Na 2.67
Mn1 0.5000 0.5000 0.5000  12 Tl 3.78


# 2
This record from Alexandria describes a crystal of Na3MnTl relaxed with PBEsol. The functional is SCAN.

Output
The calculation puts the total energy at -20.094 eV/atom.

Unit cell a=5.6056 b=5.6056 c=5.6056 alpha=90.00 beta=90.00 gamma=90.00
With the nearest neighbours (Å) after each atom.
Fractional coordinates of all 5 atoms:
Na1 0.0000 0.5000 0.0000  2 Mn 2.80
Na2 0.0000 0.0000 0.5000  2 Mn 2.80
Na3 0.5000 0.0000 0.0000  2 Mn 2.80
Tl1 0.5000 0.5000 0.5000  12 Na 3.96
Mn1 0.0000 0.0000 0.0000  6 Na 2.80


# 3
This record from Alexandria describes a crystal of NaY3Mn relaxed with PBEsol. The functional is SCAN.

Output
The calculation puts the total energy at -20.951 eV/atom.

Unit cell a=5.2583 b=5.2583 c=5.2583 alpha=90.00 beta=90.00 gamma=90.00
With the nearest neighbours (Å) after each atom.
Fractional coordinates of all 5 atoms:
Y1 0.0000 0.5000 0.0000  2 Mn 2.63
Y2 0.0000 0.0000 0.5000  2 Mn 2.63
Y3 0.5000 0.0000 0.0000  2 Mn 2.63
Na1 0.5000 0.5000 0.5000  12 Y 3.72
Mn1 0.0000 0.0000 0.0000  6 Y 2.63